Zr2Ti2Tl: relaxed, PBE.

**Excess energy over the best structure of this formula in the dataset**: 0.00 eV per formula unit
**SG**: C2/c
**DFT formation energy**: 1 meV/atom

Cell: 11.2727 11.2727 6.1599 Å, 97.87 97.87 15.68°
Positions (direct):
Zr 0.1121 0.1123 0.0559
Zr 0.1123 0.1121 0.5559
Zr 0.8877 0.8879 0.4441
Zr 0.8879 0.8877 0.9441
Ti 0.2926 0.2926 0.1462
Ti 0.2926 0.2926 0.6462
Ti 0.7074 0.7074 0.3538
Ti 0.7074 0.7074 0.8538
Tl 0.4989 0.5011 0.7500
Tl 0.5011 0.4989 0.2500

***

ThGaAgSn: relaxed, PBE.

**SG**: F-43m
**DFT formation energy**: -208 meV/atom

Cell: 5.0930 5.0930 5.0930 Å, 60.00 60.00 60.00°
Positions (direct):
Th 0.0000 0.0000 0.0000
Ga 0.7500 0.7500 0.7500
Ag 0.2500 0.2500 0.2500
Sn 0.5000 0.5000 0.5000

***

| no. | ρ (g/cm³) | volume (A^3/atom) |
| --- | --- | --- |
| 1 | 7.65 | 21.0 |
| 2 | 9.39 | 23.4 |